[1]
VASP calculation (PBE-GGA) on a geometry-optimized YMn2Rh structure.

a b c (Å): 3.212 3.249 6.645
angles (deg): 90.00 90.00 90.00
Fractional coordinates of all 4 atoms:
Y  0.000  0.000  0.000
Mn  0.000  0.000  0.503
Mn  0.500  0.500  0.323
Rh  0.500  0.500  0.722

Values from the calculation:
Space-group type = Pmm2, No. 25
Crystal system = orthorhombic

---

[2]
VASP calculation (PBE-GGA) on a geometry-optimized Tb2PrCu structure.

a b c (Å): 3.553 3.553 8.740
angles (deg): 90.00 90.00 90.00
Fractional coordinates of all 4 atoms:
Tb  0.000  0.000  0.191
Tb  0.000  0.000  0.809
Pr  0.500  0.500  0.500
Cu  0.500  0.500  0.000

Values from the calculation:
Space-group type = P4/mmm, No. 123
Crystal system = tetragonal
Energy above the lowest structure with this stoichiometry = 0.000 eV per atom

---

E per entry: -8.131, -4.631 eV per atom
Formation energy per entry: -0.093, -0.097 eV/atom